The following is a PBE-GGA calculation of an optimized crystal structure of RbCrCl3, from Alexandria.

Geometry as POSCAR:
```
RbCrCl3
1.0
7.0498 -5.8207 0.0000
7.0498 5.8207 0.0000
-2.3399 0.0000 7.9465
Rb Cr Cl
4 4 12
direct
0.0848 0.3240 0.2550
0.3240 0.0848 0.7550
0.6760 0.9152 0.2450
0.9152 0.6760 0.7450
0.2679 0.7321 0.2500
0.4251 0.5749 0.7500
0.5749 0.4251 0.2500
0.7321 0.2679 0.7500
0.0079 0.7402 0.1498
0.2006 0.6217 0.5593
0.2598 0.9921 0.3502
0.3210 0.4728 0.1014
0.3783 0.7994 0.9407
0.4728 0.3210 0.6014
0.5272 0.6790 0.3986
0.6217 0.2006 0.0593
0.6790 0.5272 0.8986
0.7402 0.0079 0.6498
0.7994 0.3783 0.4407
0.9921 0.2598 0.8502
```

Results
Formation energy (no corrections)   -649 kJ/mol of formula units
N(E_F)   0.0 states/eV/cell
Raw total energy   -4.57 eV per atom
Total moment   0.80 μB/atom